(1)
meta-GGA SCAN ZrScCd2, PBEsol geometry; DFT formation energy = -0.135 eV/atom; electronic total energy = -26.58 eV per atom; V = 84.3 Å³/f.u.; ΔE to the lowest computed polymorph = 0.1540 eV per atom
1.0
-0.9840 -2.6956 1.4895
2.7685 0.6584 3.0205
-4.2725 3.3233 3.1917
Cd Zr Sc
2 1 1
direct
0.0000 0.0000 0.9978
0.5000 0.5000 0.2521
0.5000 0.5000 0.7562
0.0000 0.0000 0.4939

=====

(2)
meta-GGA SCAN Y2Ni, PBEsol geometry; DFT formation energy = -0.278 eV/atom; electronic total energy = -24.23 eV per atom; V = 69.7 Å³/f.u.
1.0
-1.1599 -3.3319 -0.0306
4.7151 0.2650 -4.1921
4.2587 -1.5256 4.6935
Ni Y
2 4
direct
0.1162 0.2323 0.9289
0.8838 0.7677 0.4289
0.7847 0.5694 0.0342
0.5217 0.0435 0.2045
0.4783 0.9565 0.7045
0.2153 0.4306 0.5342

=====

(3)
meta-GGA SCAN HfSi2As, PBEsol geometry; electronic total energy = -25.58 eV per atom; V = 70.0 Å³/f.u.; uncorrected formation energy = 0.6 eV per formula unit
1.0
-1.8108 0.2463 -5.0294
2.2187 -3.7099 -3.8272
-4.5684 -3.2572 -1.3614
As Si Hf
2 4 2
direct
0.2500 0.5000 0.5000
0.5000 0.0000 0.0000
0.1393 0.9857 0.4857
0.3750 0.4857 0.0143
0.8750 0.5143 0.9857
0.6107 0.0143 0.5143
0.0000 0.0000 0.0000
0.7500 0.5000 0.5000

=====

(4)
meta-GGA SCAN Tb3Ge13Os4, PBEsol geometry; DFT formation energy = -0.425 eV/atom; electronic total energy = -34.22 eV per atom; V = 360.4 Å³/f.u.
1.0
-8.3483 -1.1341 3.0683
-2.5829 -2.8758 -8.0904
2.0074 -8.4166 2.3509
Os Ge Tb
8 26 6
direct
0.7500 0.2500 0.2500
0.2500 0.7500 0.2500
0.2500 0.2500 0.7500
0.7500 0.7500 0.7500
0.7500 0.7500 0.2500
0.2500 0.2500 0.2500
0.2500 0.7500 0.7500
0.7500 0.2500 0.7500
0.8549 0.7011 0.0000
0.2011 0.3549 0.5000
0.5000 0.7989 0.6451
0.5000 0.5000 0.5000
0.8549 0.2989 0.0000
0.0000 0.1451 0.2989
0.5000 0.2011 0.6451
0.6451 0.5000 0.2011
0.2989 0.0000 0.1451
0.1451 0.2989 0.0000
0.3549 0.5000 0.7989
0.0000 0.1451 0.7011
0.3549 0.5000 0.2011
0.7989 0.6451 0.5000
0.0000 0.8549 0.7011
0.2989 0.0000 0.8549
0.7011 0.0000 0.1451
0.1451 0.7011 0.0000
0.7989 0.3549 0.5000
0.2011 0.6451 0.5000
0.0000 0.8549 0.2989
0.0000 0.0000 0.0000
0.5000 0.2011 0.3549
0.6451 0.5000 0.7989
0.5000 0.7989 0.3549
0.7011 0.0000 0.8549
0.5000 0.2500 0.0000
0.7500 0.0000 0.5000
0.0000 0.5000 0.2500
0.2500 0.0000 0.5000
0.5000 0.7500 0.0000
0.0000 0.5000 0.7500